Entry 1:
# TlMo2IrC

A relaxed structure of TlMo2IrC (PBE, the Alexandria database).

Calculated formation energy (meV/atom): 1529
DOS at the Fermi energy (states/eV per cell): 6.3
Symmetry: P4/mmm (123)

Cell lengths 5.0122, 5.0122, 3.7955 Å; angles 90.00, 90.00, 90.00 degrees
Positions (direct):
Tl  0.0000  0.0000  0.0000
Mo  0.0000  0.5000  0.5000
Mo  0.5000  0.0000  0.5000
Ir  0.5000  0.5000  0.5000
C  0.5000  0.5000  0.0000

***

Entry 2:
# Y2MoIrC

A relaxed structure of Y2MoIrC (PBE, the Alexandria database).

Calculated formation energy (meV/atom): 1385
DOS at the Fermi energy (states/eV per cell): 6.1
Symmetry: P4/mmm (123)

Cell lengths 5.3666, 5.3666, 4.6184 Å; angles 90.00, 90.00, 90.00 degrees
Positions (direct):
Y  0.0000  0.5000  0.0000
Y  0.5000  0.0000  0.0000
Mo  0.0000  0.0000  0.5000
Ir  0.0000  0.0000  0.0000
C  0.5000  0.5000  0.5000

***

Entry 3:
# ZrMo2IrC

A relaxed structure of ZrMo2IrC (PBE, the Alexandria database).

Calculated formation energy (meV/atom): -143
DOS at the Fermi energy (states/eV per cell): 5.0
Symmetry: P4/mmm (123)

Cell lengths 4.2240, 4.2240, 4.1617 Å; angles 90.00, 90.00, 90.00 degrees
Positions (direct):
Zr  0.0000  0.0000  0.0000
Mo  0.0000  0.5000  0.5000
Mo  0.5000  0.0000  0.5000
Ir  0.5000  0.5000  0.0000
C  0.5000  0.5000  0.5000

***

Question: Look up the DOS at the Fermi energy of the second one.
Answer: 6.1 states/eV per cell

***

Question: The highest DOS at the Fermi energy belongs to which entry?
Answer: TlMo2IrC

***

Question: Which formula does entry 2 have?
Answer: Y2MoIrC

***

Question: calculated formation energy of number 3 (ZrMo2IrC)?
Answer: -143 meV/atom